(1)
Here is crystalline CsBaZnBr5 at its relaxed geometry from Alexandria. Energies are from PBE.

a b c (Å): 8.5010 8.5010 11.2557
angles (deg): 103.46 103.46 106.75
Atoms (fractional coordinates):
Cs (0.1434, 0.8566, 0.7500)
Cs (0.8566, 0.1434, 0.2500)
Ba (0.5000, 0.5000, 0.0000)
Ba (0.5000, 0.5000, 0.5000)
Zn (0.1868, 0.8132, 0.2500)
Zn (0.8132, 0.1868, 0.7500)
Br (0.0866, 0.2483, 0.9191)
Br (0.1682, 0.5941, 0.3598)
Br (0.2483, 0.0866, 0.4191)
Br (0.3996, 0.6004, 0.7500)
Br (0.4059, 0.8318, 0.1402)
Br (0.5941, 0.1682, 0.8598)
Br (0.6004, 0.3996, 0.2500)
Br (0.7517, 0.9134, 0.5809)
Br (0.8318, 0.4059, 0.6402)
Br (0.9134, 0.7517, 0.0809)


(2)
Here is crystalline Cs2BaZrBr6 at its relaxed geometry from Alexandria. Energies are from PBE.

a b c (Å): 8.3843 8.3843 8.3843
angles (deg): 60.00 60.00 60.00
Atoms (fractional coordinates):
Cs (0.2500, 0.2500, 0.2500)
Cs (0.7500, 0.7500, 0.7500)
Ba (0.0000, 0.0000, 0.0000)
Zr (0.5000, 0.5000, 0.5000)
Br (0.2661, 0.2661, 0.7339)
Br (0.2661, 0.7339, 0.2661)
Br (0.2661, 0.7339, 0.7339)
Br (0.7339, 0.2661, 0.2661)
Br (0.7339, 0.2661, 0.7339)
Br (0.7339, 0.7339, 0.2661)


(3)
Here is crystalline CsBaZrBr2 at its relaxed geometry from Alexandria. Energies are from PBE.

a b c (Å): 6.3926 6.3926 6.6414
angles (deg): 90.00 90.00 90.00
Atoms (fractional coordinates):
Cs (0.0000, 0.0000, 0.0000)
Ba (0.5000, 0.5000, 0.5000)
Zr (0.5000, 0.5000, 0.0000)
Br (0.0000, 0.5000, 0.5000)
Br (0.5000, 0.0000, 0.5000)


(4)
Here is crystalline BaCuBr3 at its relaxed geometry from Alexandria. Energies are from PBE.

a b c (Å): 5.2280 5.2280 5.2280
angles (deg): 90.00 90.00 90.00
Atoms (fractional coordinates):
Ba (0.0000, 0.0000, 0.0000)
Cu (0.5000, 0.5000, 0.5000)
Br (0.0000, 0.5000, 0.5000)
Br (0.5000, 0.0000, 0.5000)
Br (0.5000, 0.5000, 0.0000)

Computed properties:
- energy above the lowest structure with this stoichiometry (meV per atom) = 156.7


(5)
Here is crystalline Ba2CuBr at its relaxed geometry from Alexandria. Energies are from PBE.

a b c (Å): 4.7396 4.7396 6.7560
angles (deg): 90.00 90.00 90.00
Atoms (fractional coordinates):
Ba (0.0000, 0.0000, 0.0000)
Ba (0.5000, 0.5000, 0.4996)
Cu (0.0000, 0.0000, 0.5019)
Br (0.5000, 0.5000, 0.9997)

Computed properties:
- energy above the lowest structure with this stoichiometry (meV per atom) = 57.6


(6)
Here is crystalline Ba2CuBr at its relaxed geometry from Alexandria. Energies are from PBE.

a b c (Å): 5.7992 5.7992 5.7992
angles (deg): 60.00 60.00 60.00
Atoms (fractional coordinates):
Ba (0.2500, 0.2500, 0.2500)
Ba (0.7500, 0.7500, 0.7500)
Cu (0.0000, 0.0000, 0.0000)
Br (0.5000, 0.5000, 0.5000)

Computed properties:
- energy above the lowest structure with this stoichiometry (meV per atom) = 217.1


(7)
Here is crystalline Ba2CuBr at its relaxed geometry from Alexandria. Energies are from PBE.

a b c (Å): 5.7161 5.7161 5.7161
angles (deg): 60.00 60.00 60.00
Atoms (fractional coordinates):
Ba (0.0000, 0.0000, 0.0000)
Ba (0.2500, 0.2500, 0.2500)
Cu (0.5000, 0.5000, 0.5000)
Br (0.7500, 0.7500, 0.7500)

Computed properties:
- energy above the lowest structure with this stoichiometry (meV per atom) = 703.8


(8)
Here is crystalline Ba3CuBr at its relaxed geometry from Alexandria. Energies are from PBE.

a b c (Å): 6.3025 6.3025 6.3025
angles (deg): 90.00 90.00 90.00
Atoms (fractional coordinates):
Ba (0.0000, 0.0000, 0.5000)
Ba (0.0000, 0.5000, 0.0000)
Ba (0.5000, 0.0000, 0.0000)
Cu (0.0000, 0.0000, 0.0000)
Br (0.5000, 0.5000, 0.5000)

Computed properties:
- energy above the lowest structure with this stoichiometry (meV per atom) = 0.0


(9)
Here is crystalline BaCuBr3 at its relaxed geometry from Alexandria. Energies are from PBE.

a b c (Å): 7.0853 8.8263 12.3907
angles (deg): 90.00 124.71 90.00
Atoms (fractional coordinates):
Ba (0.1959, 0.1180, 0.2489)
Ba (0.1959, 0.3820, 0.7489)
Ba (0.8041, 0.6180, 0.2511)
Ba (0.8041, 0.8820, 0.7511)
Cu (0.1365, 0.6209, 0.0643)
Cu (0.1365, 0.8791, 0.5643)
Cu (0.8635, 0.1209, 0.4357)
Cu (0.8635, 0.3791, 0.9357)
Br (0.1035, 0.1788, 0.9477)
Br (0.1035, 0.3212, 0.4477)
Br (0.2923, 0.6792, 0.9395)
Br (0.2923, 0.8208, 0.4395)
Br (0.3675, 0.0321, 0.7520)
Br (0.3675, 0.4679, 0.2520)
Br (0.6325, 0.5321, 0.7480)
Br (0.6325, 0.9679, 0.2480)
Br (0.7077, 0.1792, 0.5605)
Br (0.7077, 0.3208, 0.0605)
Br (0.8965, 0.6788, 0.5523)
Br (0.8965, 0.8212, 0.0523)

Computed properties:
- energy above the lowest structure with this stoichiometry (meV per atom) = 0.0


(10)
Here is crystalline BaCu3Br8 at its relaxed geometry from Alexandria. Energies are from PBE.

a b c (Å): 6.6077 6.6077 8.9219
angles (deg): 90.00 90.00 120.00
Atoms (fractional coordinates):
Ba (0.0000, 0.0000, 0.0000)
Cu (0.0000, 0.0000, 0.5000)
Cu (0.3333, 0.6667, 0.7310)
Cu (0.6667, 0.3333, 0.2690)
Br (0.0081, 0.3100, 0.3249)
Br (0.3019, 0.9919, 0.3249)
Br (0.3100, 0.3019, 0.6751)
Br (0.3333, 0.6667, 0.0016)
Br (0.6667, 0.3333, 0.9984)
Br (0.6900, 0.6981, 0.3249)
Br (0.6981, 0.0081, 0.6751)
Br (0.9919, 0.6900, 0.6751)


(11)
Here is crystalline BaCu2Br at its relaxed geometry from Alexandria. Energies are from PBE.

a b c (Å): 6.2147 6.2147 4.9789
angles (deg): 101.29 101.29 42.53
Atoms (fractional coordinates):
Ba (0.0000, 0.0000, 0.0000)
Cu (0.2792, 0.2792, 0.0541)
Cu (0.7208, 0.7208, 0.9459)
Br (0.5000, 0.5000, 0.5000)

Computed properties:
- energy above the lowest structure with this stoichiometry (meV per atom) = 102.8


(12)
Here is crystalline BaCu4Br8 at its relaxed geometry from Alexandria. Energies are from PBE.

a b c (Å): 8.8355 8.8355 8.8355
angles (deg): 51.62 51.62 51.62
Atoms (fractional coordinates):
Ba (0.0000, 0.0000, 0.0000)
Cu (0.0000, 0.0000, 0.5000)
Cu (0.0000, 0.5000, 0.0000)
Cu (0.5000, 0.0000, 0.0000)
Cu (0.5000, 0.5000, 0.5000)
Br (0.2223, 0.2223, 0.2223)
Br (0.2416, 0.7281, 0.7281)
Br (0.2719, 0.2719, 0.7584)
Br (0.2719, 0.7584, 0.2719)
Br (0.7281, 0.2416, 0.7281)
Br (0.7281, 0.7281, 0.2416)
Br (0.7584, 0.2719, 0.2719)
Br (0.7777, 0.7777, 0.7777)


Calculated raw formation energy, -1.59 -1.60 -0.27 -1.26 -0.74 -0.58 -0.09 -0.31 -1.42 -0.70 -0.33 -0.63 eV per atom (same order as the records).
Calculated size of the total moment, 0.0002 0.2000 0.7416 0.0000 0.3257 0.2368 0.1501 0.0781 0.0189 0.0000 0.0000 0.1648 μB per atom (same order as the records).
Calculated total energy, -3.15 -3.83 -3.21 -3.47 -3.14 -2.98 -2.49 -2.62 -3.62 -3.00 -3.28 -3.07 eV/atom (same order as the records).